1.
Computed, not measured: a relaxed structure of SiNiPH at the PBE-GGA level of DFT.

The structure in POSCAR format:
```
SiNiPH
1.0
-0.498 -2.371 -4.688
2.347 0.819 -0.663
3.130 -4.787 5.168
Si Ni P H
2 2 2 2
Direct
0.126 0.000 0.295
0.126 0.500 0.795
0.515 0.500 0.444
0.515 0.000 0.944
0.668 0.500 0.760
0.668 0.000 0.260
0.074 0.000 0.089
0.074 0.500 0.589
```

Results
Polymorph energy (0 for the lowest one)   0.090 eV per atom
Total magnetic moment   0.00 μB/f.u.
Mass density   4031 kg/m³

2.
Computed, not measured: a relaxed structure of MgMnAg at the PBE-GGA level of DFT.

The structure in POSCAR format:
```
MgMnAg
1.0
4.609 0.000 0.000
-2.305 3.992 0.000
0.000 0.000 2.849
Mg Ag Mn
1 1 1
Direct
0.667 0.333 0.306
0.000 0.000 0.001
0.333 0.667 0.693
```

Results
DFT formation energy   0.192 eV per atom
Total magnetic moment   3.87 μB/f.u.
Mass density   5928 kg/m³

3.
Computed, not measured: a relaxed structure of K2BaTa at the PBE-GGA level of DFT.

The structure in POSCAR format:
```
K2BaTa
1.0
-4.244 0.425 -4.651
-4.679 -0.544 4.199
4.378 4.489 0.709
Ba K Ta
1 2 1
Direct
0.250 0.750 0.500
0.000 0.000 0.000
0.750 0.250 0.500
0.500 0.500 0.000
```

Results
Polymorph energy (0 for the lowest one)   0.257 eV per atom
DFT formation energy   1.241 eV per atom
Total magnetic moment   4.93 μB/f.u.
Mass density   3709 kg/m³